Density functional theory data (GGA-PBE) for TmTlAuSe3 after structural relaxation.

Summary:
Space-group type: Cmcm, No. 63
ΔE to the lowest computed polymorph, eV/f.u.: 0.00
Theoretical density, g/cm³: 8.7
E, eV/f.u.: -25.6

Unit cell a=7.6095 b=7.6095 c=10.5797 alpha=90.00 beta=90.00 gamma=149.81
Closest atoms and distances in Å follow each position.
Atoms (fractional coordinates):
1 Se 0.4203 0.5796 0.2500  2 Au 2.62, 2 Tm 2.89
2 Se 0.1350 0.8650 0.4545  1 Au 2.60, 2 Tm 2.84
3 Se 0.8650 0.1350 0.5455  1 Au 2.60, 2 Tm 2.84
4 Se 0.1350 0.8650 0.0455  1 Au 2.60, 2 Tm 2.84
5 Se 0.5796 0.4203 0.7500  2 Au 2.62, 2 Tm 2.89
6 Se 0.8650 0.1350 0.9545  1 Au 2.60, 2 Tm 2.84
7 Au 0.0372 0.9628 0.2500  4 Se 2.60-2.62
8 Au 0.9628 0.0372 0.7500  4 Se 2.60-2.62
9 Tm 0.5000 0.5000 0.5000  6 Se 2.84-2.89
10 Tm 0.5000 0.5000 0.0000  6 Se 2.84-2.89
11 Tl 0.2598 0.7402 0.7500  8 Se 3.31-3.62, 2 Au 3.58
12 Tl 0.7402 0.2598 0.2500  8 Se 3.31-3.62, 2 Au 3.58